{"formula": "Pr5InAg2", "functional": "PBE-GGA", "state": "optimized geometry", "formation_enthalpy_0k_ev_per_atom": -0.226, "dos_ef_per_ev_cell": 21.24, "crystal_system": "tetragonal", "density_g_cm3": 7.1, "cell": [[-6.9606, -2.2730, -4.2826], [3.3142, 3.2383, -7.1054], [4.6464, -6.4690, 4.2825]], "species": ["Pr", "Pr", "Pr", "Pr", "Pr", "Pr", "Pr", "Pr", "Pr", "Pr", "In", "In", "Ag", "Ag", "Ag", "Ag"], "frac_coords": [[0.1951, 0.0068, 0.7019], [0.5068, 0.6951, 0.7019], [0.0068, 0.5068, 0.7019], [0.5000, 0.5000, 0.0000], [0.9932, 0.4932, 0.2981], [0.4932, 0.3049, 0.2981], [0.6951, 0.1951, 0.7019], [0.8049, 0.9932, 0.2981], [0.3049, 0.8049, 0.2981], [0.0000, 0.0000, 0.0000], [0.7500, 0.7500, 0.5000], [0.2500, 0.2500, 0.5000], [0.6314, 0.1314, 0.0000], [0.8686, 0.6314, 0.0000], [0.1314, 0.3686, 0.0000], [0.3686, 0.8686, 0.0000]]}

=====

{"formula": "Ta2ZnP", "functional": "PBE-GGA", "state": "optimized geometry", "formation_enthalpy_0k_ev_per_atom": -0.081, "dos_ef_per_ev_cell": 1.75, "crystal_system": "monoclinic", "density_g_cm3": 12.0, "cell": [[3.6955, 2.9549, 0.0087], [-3.6955, 2.9549, 0.0087], [0.0000, 0.7446, 2.8976]], "species": ["Ta", "Ta", "Zn", "P"], "frac_coords": [[0.0000, 0.5000, 0.0000], [0.5000, 0.0000, 0.0000], [0.5000, 0.5000, 0.5000], [0.0000, 0.0000, 0.5000]]}

=====

{"formula": "Pm15Pr4Er", "functional": "PBE-GGA", "state": "optimized geometry", "formation_enthalpy_0k_ev_per_atom": 0.015, "dos_ef_per_ev_cell": 29.15, "crystal_system": "tetragonal", "density_g_cm3": 7.0, "cell": [[-4.9104, 1.1094, 1.1902], [-1.0601, -5.0520, 0.3354], [6.1646, 0.3718, 25.0871]], "species": ["Pm", "Pm", "Pm", "Pm", "Pm", "Pm", "Pm", "Pm", "Pm", "Pm", "Pm", "Pm", "Pm", "Pm", "Pm", "Pr", "Pr", "Pr", "Pr", "Er"], "frac_coords": [[0.5000, 0.0000, 0.0980], [0.5000, 0.0000, 0.7009], [0.0000, 0.5000, 0.2991], [0.0000, 0.5000, 0.0980], [0.5000, 0.0000, 0.5000], [0.0000, 0.5000, 0.9020], [0.0000, 0.5000, 0.7009], [0.5000, 0.5000, 0.6004], [0.5000, 0.0000, 0.2991], [0.5000, 0.5000, 0.8017], [0.5000, 0.5000, 0.1983], [0.5000, 0.5000, 0.3996], [0.5000, 0.5000, 0.0000], [0.0000, 0.5000, 0.5000], [0.5000, 0.0000, 0.9020], [0.0000, 0.0000, 0.1987], [0.0000, 0.0000, 0.3995], [0.0000, 0.0000, 0.6005], [0.0000, 0.0000, 0.8013], [0.0000, 0.0000, 0.0000]]}

=====

{"formula": "SrCoPd2", "functional": "PBE-GGA", "state": "optimized geometry", "formation_enthalpy_0k_ev_per_atom": 0.128, "dos_ef_per_ev_cell": 3.57, "crystal_system": "cubic", "density_g_cm3": 7.8, "cell": [[0.0000, 3.3642, 3.3642], [3.3642, 0.0000, 3.3642], [3.3642, 3.3642, 0.0000]], "species": ["Pd", "Pd", "Co", "Sr"], "frac_coords": [[0.7500, 0.7500, 0.7500], [0.2500, 0.2500, 0.2500], [0.0000, 0.0000, 0.0000], [0.5000, 0.5000, 0.5000]]}